[1]
Density functional theory data (PBE) for an optimized crystal structure of Pa3BiTe3.

Lattice parameters (Å, degrees): 9.2447 9.2447 8.0658 55.03 55.03 60.00
Last column: nearest neighbours and their distance in Å.
Sites, in units of the cell vectors:
1 Pa 0.5430 0.9156 0.2293  5 Te 3.10-3.24, 2 Bi 3.19-3.20
2 Pa 0.4570 0.0844 0.7707  5 Te 3.10-3.24, 2 Bi 3.19-3.20
3 Pa 0.3121 0.5430 0.2293  5 Te 3.10-3.24, 2 Bi 3.19-3.20
4 Pa 0.9156 0.3121 0.2293  5 Te 3.10-3.24, 2 Bi 3.19-3.20
5 Pa 0.6879 0.4570 0.7707  5 Te 3.10-3.24, 2 Bi 3.19-3.20
6 Pa 0.0844 0.6879 0.7707  5 Te 3.10-3.24, 2 Bi 3.19-3.20
7 Te 0.1769 0.9102 0.2679  5 Pa 3.10-3.24
8 Te 0.9102 0.6451 0.2679  5 Pa 3.10-3.24
9 Te 0.0898 0.3549 0.7321  5 Pa 3.10-3.24
10 Te 0.6451 0.1769 0.2679  5 Pa 3.10-3.24
11 Te 0.8231 0.0898 0.7321  5 Pa 3.10-3.24
12 Te 0.3549 0.8231 0.7321  5 Pa 3.10-3.24
13 Bi 0.3254 0.3254 0.0238  6 Pa 3.19-3.20
14 Bi 0.6746 0.6746 0.9762  6 Pa 3.19-3.20

VASP energy, eV/atom: -6.49


[2]
Density functional theory data (PBE) for an optimized crystal structure of PaBiTe2.

Lattice parameters (Å, degrees): 3.8684 4.6153 16.4316 90.00 96.76 90.00
Last column: nearest neighbours and their distance in Å.
Sites, in units of the cell vectors:
1 Pa 0.3135 0.2500 0.6270  7 Te 2.99-3.27
2 Pa 0.6865 0.7500 0.3730  7 Te 2.99-3.27
3 Te 0.8833 0.2500 0.7667  2 Pa 2.99
4 Te 0.2134 0.2500 0.4268  5 Pa 3.14-3.27
5 Te 0.7866 0.7500 0.5732  5 Pa 3.14-3.27
6 Te 0.1167 0.7500 0.2333  2 Pa 2.99
7 Bi 0.0312 0.2500 0.0624  2 Bi 3.08
8 Bi 0.9688 0.7500 0.9376  2 Bi 3.08

Energy above the lowest structure with this stoichiometry, kJ per mole of atoms: 3.6


[3]
Density functional theory data (PBE) for an optimized crystal structure of PaBiTe2.

Lattice parameters (Å, degrees): 5.6019 5.6019 5.3432 58.38 58.38 60.00
Last column: nearest neighbours and their distance in Å.
Sites, in units of the cell vectors:
1 Pa 0.5000 0.5000 0.5000  8 Te 3.33-3.36
2 Te 0.2394 0.2394 0.2819  1 Bi 3.05, 4 Pa 3.33-3.36
3 Te 0.7606 0.7606 0.7181  1 Bi 3.05, 4 Pa 3.33-3.36
4 Bi 0.0000 0.0000 0.0000  2 Te 3.05

Energy above the lowest structure with this stoichiometry, kJ per mole of atoms: 24.6


[4]
Density functional theory data (PBE) for an optimized crystal structure of Pa3Bi3Te2.

Lattice parameters (Å, degrees): 4.2341 4.8845 11.6847 102.06 100.44 90.00
Last column: nearest neighbours and their distance in Å.
Sites, in units of the cell vectors:
1 Pa 0.8490 0.8490 0.6980  4 Te 3.16-3.22, 4 Bi 3.33
2 Pa 0.1510 0.1510 0.3020  4 Te 3.16-3.22, 4 Bi 3.33
3 Pa 0.0000 0.5000 0.0000  8 Bi 3.23-3.33
4 Bi 0.6146 0.6146 0.2291  6 Pa 3.33, 2 Bi 3.55, 2 Te 3.61
5 Bi 0.3854 0.3854 0.7709  6 Pa 3.33, 2 Bi 3.55, 2 Te 3.61
6 Bi 0.5000 0.0000 0.0000  4 Pa 3.23, 4 Bi 3.55
7 Te 0.7553 0.2553 0.5106  4 Pa 3.16-3.22, 4 Te 3.24
8 Te 0.2447 0.7447 0.4894  4 Pa 3.16-3.22, 4 Te 3.24

VASP energy, eV/atom: -6.06


[5]
Density functional theory data (PBE) for an optimized crystal structure of Pa2BiTe.

Lattice parameters (Å, degrees): 5.3440 5.3440 5.3440 60.00 60.00 60.00
Last column: nearest neighbours and their distance in Å.
Sites, in units of the cell vectors:
1 Pa 0.2500 0.2500 0.2500  4 Te 3.27, 4 Bi 3.27
2 Pa 0.7500 0.7500 0.7500  4 Bi 3.27, 4 Te 3.27
3 Bi 0.5000 0.5000 0.5000  8 Pa 3.27
4 Te 0.0000 0.0000 0.0000  8 Pa 3.27

Energy above the lowest structure with this stoichiometry, kJ per mole of atoms: 0.0


[6]
Density functional theory data (PBE) for an optimized crystal structure of Pa4Bi3Te2.

Lattice parameters (Å, degrees): 4.6632 5.9308 10.3015 86.82 90.00 113.15
Last column: nearest neighbours and their distance in Å.
Sites, in units of the cell vectors:
1 Pa 0.6539 0.3079 0.1204  3 Te 3.08-3.25, 3 Bi 3.17-3.20
2 Pa 0.3461 0.6921 0.8796  3 Te 3.08-3.25, 3 Bi 3.17-3.20
3 Pa 0.9427 0.8854 0.3425  2 Te 3.12, 5 Bi 3.35-3.38
4 Pa 0.0573 0.1146 0.6575  2 Te 3.12, 5 Bi 3.35-3.38
5 Te 0.3207 0.6413 0.1958  5 Pa 3.08-3.25
6 Te 0.6793 0.3587 0.8042  5 Pa 3.08-3.25
7 Bi 0.0000 0.0000 0.0000  6 Pa 3.17-3.55
8 Bi 0.6421 0.2842 0.4320  6 Pa 3.20-3.38, 1 Bi 3.32
9 Bi 0.3579 0.7158 0.5680  6 Pa 3.20-3.38, 1 Bi 3.32

VASP energy, eV/atom: -6.50


[7]
Density functional theory data (PBE) for an optimized crystal structure of ThPaBiTe.

Lattice parameters (Å, degrees): 5.4179 5.4179 5.4179 60.00 60.00 60.00
Last column: nearest neighbours and their distance in Å.
Sites, in units of the cell vectors:
1 Th 0.5000 0.5000 0.5000  4 Bi 3.32, 4 Te 3.32
2 Bi 0.7500 0.7500 0.7500  4 Th 3.32, 4 Pa 3.32
3 Pa 0.0000 0.0000 0.0000  4 Bi 3.32, 4 Te 3.32
4 Te 0.2500 0.2500 0.2500  4 Pa 3.32, 4 Th 3.32

VASP energy, eV/atom: -6.57


[8]
Density functional theory data (PBE) for an optimized crystal structure of PaTl3Bi2Te6.

Lattice parameters (Å, degrees): 7.8697 7.8697 8.5646 98.80 98.80 119.99
Last column: nearest neighbours and their distance in Å.
Sites, in units of the cell vectors:
1 Te 0.9271 0.6010 0.7811  1 Pa 3.13, 2 Bi 3.19-3.20, 2 Tl 3.46
2 Te 0.3990 0.0729 0.2189  1 Pa 3.13, 2 Bi 3.19-3.20, 2 Tl 3.46
3 Te 0.0729 0.3990 0.2189  1 Pa 3.13, 2 Bi 3.19-3.20, 2 Tl 3.46
4 Te 0.7461 0.7461 0.2181  1 Pa 3.13, 2 Bi 3.20, 2 Tl 3.46
5 Te 0.6010 0.9271 0.7811  1 Pa 3.13, 2 Bi 3.19-3.20, 2 Tl 3.46
6 Te 0.2539 0.2539 0.7819  1 Pa 3.13, 2 Bi 3.20, 2 Tl 3.46
7 Tl 0.8347 0.1653 0.5000  6 Te 3.46-3.54
8 Tl 0.5000 0.5000 0.5000  6 Te 3.46-3.53
9 Tl 0.1653 0.8347 0.5000  6 Te 3.46-3.54
10 Bi 0.6673 0.3327 0.0000  6 Te 3.19-3.20
11 Bi 0.3327 0.6673 0.0000  6 Te 3.19-3.20
12 Pa 0.0000 0.0000 0.0000  6 Te 3.13

VASP energy, eV/atom: -3.99


[9]
Density functional theory data (PBE) for an optimized crystal structure of PaTl3Bi3Te8.

Lattice parameters (Å, degrees): 9.0362 9.0355 9.6565 117.90 90.00 120.00
Last column: nearest neighbours and their distance in Å.
Sites, in units of the cell vectors:
1 Te 0.7651 0.0174 0.2826  1 Pa 3.10, 2 Bi 3.18, 2 Tl 3.45
2 Te 0.2522 0.0174 0.2826  1 Pa 3.09, 2 Bi 3.18, 2 Tl 3.45
3 Te 0.7406 0.4813 0.7219  3 Bi 3.17, 3 Tl 3.45
4 Te 0.2594 0.5187 0.2781  3 Bi 3.17, 3 Tl 3.45
5 Te 0.7651 0.5303 0.2826  1 Pa 3.10, 2 Bi 3.18, 2 Tl 3.45
6 Te 0.7478 0.9826 0.7174  1 Pa 3.09, 2 Bi 3.18, 2 Tl 3.45
7 Te 0.2349 0.4697 0.7174  1 Pa 3.10, 2 Bi 3.18, 2 Tl 3.45
8 Te 0.2349 0.9826 0.7174  1 Pa 3.10, 2 Bi 3.18, 2 Tl 3.45
9 Tl 0.5000 0.5000 0.0000  6 Te 3.45
10 Tl 0.0000 0.0000 0.0000  6 Te 3.45
11 Tl 0.0000 0.5000 0.0000  6 Te 3.45
12 Bi 0.0000 0.5000 0.5000  6 Te 3.17-3.18
13 Bi 0.5000 0.0000 0.5000  6 Te 3.17-3.18
14 Bi 0.5000 0.5000 0.5000  6 Te 3.17-3.18
15 Pa 0.0000 0.0000 0.5000  6 Te 3.09-3.10

VASP energy, eV/atom: -3.96


[10]
Density functional theory data (PBE) for an optimized crystal structure of Pa3Tl3BiTe8.

Lattice parameters (Å, degrees): 8.8213 8.8218 9.7968 116.76 90.01 119.99
Last column: nearest neighbours and their distance in Å.
Sites, in units of the cell vectors:
1 Tl 0.0000 0.0000 0.0000  6 Te 3.48-3.50
2 Tl 0.0000 0.5000 0.0000  6 Te 3.48-3.50
3 Tl 0.5000 0.5000 0.0000  6 Te 3.48-3.49
4 Pa 0.5000 0.5000 0.5000  6 Te 3.11-3.13
5 Pa 0.0000 0.5000 0.5000  6 Te 3.11-3.13
6 Pa 0.5000 0.0000 0.5000  6 Te 3.11-3.13
7 Te 0.7391 0.4782 0.7173  3 Pa 3.13, 3 Tl 3.48
8 Te 0.7567 0.5133 0.2820  2 Pa 3.11, 1 Bi 3.18
9 Te 0.2433 0.4867 0.7180  2 Pa 3.11, 1 Bi 3.18
10 Te 0.7566 0.0253 0.2820  2 Pa 3.11, 1 Bi 3.18
11 Te 0.2609 0.5218 0.2827  3 Pa 3.13, 3 Tl 3.48
12 Te 0.7313 0.9747 0.7180  2 Pa 3.11, 1 Bi 3.18
13 Te 0.2687 0.0253 0.2820  2 Pa 3.11, 1 Bi 3.18
14 Te 0.2434 0.9747 0.7180  2 Pa 3.11, 1 Bi 3.18
15 Bi 0.0000 0.0000 0.5000  6 Te 3.18

VASP energy, eV/atom: -4.85


[11]
Density functional theory data (PBE) for an optimized crystal structure of TmPaBiTe.

Lattice parameters (Å, degrees): 5.3577 5.3577 5.3577 60.00 60.00 60.00
Last column: nearest neighbours and their distance in Å.
Sites, in units of the cell vectors:
1 Tm 0.2500 0.2500 0.2500  4 Bi 3.28, 4 Te 3.28
2 Pa 0.7500 0.7500 0.7500  4 Te 3.28, 4 Bi 3.28
3 Bi 0.0000 0.0000 0.0000  4 Pa 3.28, 4 Tm 3.28
4 Te 0.5000 0.5000 0.5000  4 Pa 3.28, 4 Tm 3.28

VASP energy, eV/atom: -5.79


[12]
Density functional theory data (PBE) for an optimized crystal structure of UPaBiTe.

Lattice parameters (Å, degrees): 5.3734 5.3734 5.3734 60.00 60.00 60.00
Last column: nearest neighbours and their distance in Å.
Sites, in units of the cell vectors:
1 Pa 0.5000 0.5000 0.5000  4 Te 3.29, 4 Bi 3.29
2 U 0.0000 0.0000 0.0000  4 Bi 3.29, 4 Te 3.29
3 Te 0.2500 0.2500 0.2500  4 Pa 3.29, 4 U 3.29
4 Bi 0.7500 0.7500 0.7500  4 U 3.29, 4 Pa 3.29

VASP energy, eV/atom: -7.20


no.,density (g cm⁻³),M_tot (μB/atom),V (Å³ per cell)
1,9.534,0.650,448
2,7.925,0.218,291
3,9.988,0.287,116
4,11.264,0.277,232
5,12.289,0.544,108
6,11.471,0.535,261
7,11.808,0.001,112
8,7.699,0.135,437
9,7.202,0.062,575
10,7.466,0.335,564
11,11.247,0.452,109
12,12.195,1.309,110